{
  "formula": "Y2Ni",
  "functional": "PBE",
  "state": "optimized geometry",
  "lattice": [[0.000, 4.228, 4.228], [4.228, 0.000, 4.228], [4.228, 4.228, 0.000]],
  "species": ["Y", "Y", "Y", "Y", "Ni", "Ni"],
  "frac_coords": [[0.625, 0.125, 0.625], [0.625, 0.625, 0.125], [0.125, 0.625, 0.625], [0.625, 0.625, 0.625], [0.000, 0.000, 0.000], [0.250, 0.250, 0.250]],
  "ef_ev_per_atom": 0.910,
  "rho_g_cm3": 5.2
}

=====

{
  "formula": "ThTeOs",
  "functional": "PBE",
  "state": "optimized geometry",
  "lattice": [[0.000, 3.373, 3.373], [3.373, 0.000, 3.373], [3.373, 3.373, 0.000]],
  "species": ["Te", "Os", "Th"],
  "frac_coords": [[0.250, 0.250, 0.250], [0.000, 0.000, 0.000], [0.750, 0.750, 0.750]],
  "rho_g_cm3": 11.9,
  "de_polymorph_ev_per_atom": 0.000
}

=====

{
  "formula": "NaReAgSe2S",
  "functional": "PBE",
  "state": "optimized geometry",
  "lattice": [[1.896, -6.760, 0.000], [1.896, 6.760, 0.000], [0.000, 0.000, 9.914]],
  "species": ["Se", "Se", "Se", "Se", "Re", "Re", "S", "S", "Na", "Na", "Ag", "Ag"],
  "frac_coords": [[0.632, 0.368, 0.016], [0.632, 0.368, 0.484], [0.368, 0.632, 0.984], [0.368, 0.632, 0.516], [0.000, 0.000, 0.000], [0.000, 0.000, 0.500], [0.067, 0.933, 0.750], [0.933, 0.067, 0.250], [0.744, 0.256, 0.750], [0.256, 0.744, 0.250], [0.559, 0.441, 0.250], [0.441, 0.559, 0.750]],
  "rho_g_cm3": 6.6,
  "total_energy_ev_per_atom": -4.7312
}

=====

{
  "formula": "SmScHg",
  "functional": "PBE",
  "state": "optimized geometry",
  "lattice": [[1.221, -3.639, -3.207], [-0.886, -4.778, 1.184], [-3.589, -2.542, -2.382]],
  "species": ["Sc", "Hg", "Sm"],
  "frac_coords": [[0.250, 0.250, 0.250], [0.000, 0.000, 0.000], [0.750, 0.750, 0.750]],
  "ef_ev_per_atom": -0.069,
  "rho_g_cm3": 7.4,
  "de_polymorph_ev_per_atom": 0.000
}

=====

{
  "formula": "RbGdTeO",
  "functional": "PBE",
  "state": "optimized geometry",
  "lattice": [[-0.196, -2.055, 4.398], [8.205, 2.593, 1.577], [-2.417, 6.008, 2.700]],
  "species": ["Gd", "Gd", "O", "O", "Rb", "Rb", "Te", "Te"],
  "frac_coords": [[0.500, 0.893, 0.026], [0.500, 0.107, 0.526], [0.500, 0.922, 0.722], [0.500, 0.078, 0.222], [0.000, 0.712, 0.618], [0.000, 0.288, 0.118], [0.000, 0.295, 0.625], [0.000, 0.705, 0.125]],
  "rho_g_cm3": 4.3,
  "de_polymorph_ev_per_atom": 0.158
}

=====

{
  "formula": "PtPbO3",
  "functional": "PBE",
  "state": "optimized geometry",
  "lattice": [[4.142, 0.000, 0.000], [0.000, 4.142, 0.000], [0.000, 0.000, 4.397]],
  "species": ["O", "O", "O", "Pb", "Pt"],
  "frac_coords": [[0.500, 0.000, 0.723], [0.000, 0.500, 0.723], [0.500, 0.500, 0.081], [0.500, 0.500, 0.533], [0.000, 0.000, 0.839]],
  "rho_g_cm3": 9.9,
  "total_energy_ev_per_atom": -5.0372
}

=====

{
  "formula": "PmSbN2O",
  "functional": "PBE",
  "state": "optimized geometry",
  "lattice": [[-4.065, 2.841, 2.834], [4.065, -2.841, 2.834], [4.065, 2.841, -2.834]],
  "species": ["Sb", "Sb", "Pm", "Pm", "O", "O", "N", "N", "N", "N"],
  "frac_coords": [[0.785, 0.285, 0.500], [0.785, 0.785, 0.000], [0.265, 0.537, 0.227], [0.310, 0.037, 0.773], [0.675, 0.527, 0.648], [0.879, 0.027, 0.352], [0.786, 0.096, 0.812], [0.284, 0.974, 0.188], [0.786, 0.474, 0.190], [0.284, 0.596, 0.810]],
  "rho_g_cm3": 7.9,
  "total_energy_ev_per_atom": -6.9856
}

=====

{
  "formula": "KNp",
  "functional": "PBE",
  "state": "optimized geometry",
  "lattice": [[-1.498, 2.546, 4.893], [-4.127, 3.955, 0.017], [-5.060, -1.160, 2.392]],
  "species": ["Np", "K"],
  "frac_coords": [[0.250, 0.250, 0.250], [0.000, 0.000, 0.000]],
  "rho_g_cm3": 3.5,
  "total_energy_ev_per_atom": -4.3778
}

=====

{
  "formula": "Ho3Fe6Co2Ni",
  "functional": "PBE",
  "state": "optimized geometry",
  "lattice": [[2.490, 1.438, 8.186], [-2.490, 1.438, 8.186], [0.000, -2.876, 8.186]],
  "species": ["Ni", "Fe", "Fe", "Fe", "Fe", "Fe", "Fe", "Ho", "Ho", "Ho", "Co", "Co"],
  "frac_coords": [[0.500, 0.500, 0.500], [0.079, 0.582, 0.582], [0.582, 0.582, 0.079], [0.921, 0.418, 0.418], [0.418, 0.921, 0.418], [0.582, 0.079, 0.582], [0.418, 0.418, 0.921], [0.000, 0.000, 0.000], [0.858, 0.858, 0.858], [0.142, 0.142, 0.142], [0.667, 0.667, 0.667], [0.333, 0.333, 0.333]],
  "ef_ev_per_atom": -0.129,
  "rho_g_cm3": 9.5
}

=====

{
  "formula": "Lu3HfTe2C2",
  "functional": "PBE",
  "state": "optimized geometry",
  "lattice": [[-1.967, -3.055, -0.482], [1.543, 1.659, -2.881], [11.243, -7.507, 1.697]],
  "species": ["Lu", "Lu", "Lu", "Te", "Te", "C", "C", "Hf"],
  "frac_coords": [[0.000, 0.000, 0.089], [0.333, 0.667, 0.593], [0.000, 0.000, 0.408], [0.000, 0.000, 0.760], [0.333, 0.667, 0.247], [0.667, 0.333, 0.990], [0.667, 0.333, 0.503], [0.333, 0.667, 0.911]],
  "rho_g_cm3": 10.3,
  "total_energy_ev_per_atom": -6.8890
}

=====

What is the formula in the eighth record? KNp